# Be2CoIr (GGA-PBE, relaxed)
data_Be2CoIr
_chemical_formula_sum 'Be2 Co1 Ir1'
_cell_length_a 3.801
_cell_length_b 3.801
_cell_length_c 2.779
_cell_angle_alpha 90.00
_cell_angle_beta 90.00
_cell_angle_gamma 90.00
_symmetry_space_group_name_H-M 'P 4/m m m'
_symmetry_Int_Tables_number 123
_symmetry_space_group_name_Hall '-P 4 2'
loop_
_atom_site_label
_atom_site_type_symbol
_atom_site_fract_x
_atom_site_fract_y
_atom_site_fract_z
Be1 Be 0.000 0.500 0.000
Co1 Co 0.000 0.000 0.500
Ir1 Ir 0.500 0.500 0.500
# Theoretical density, kg/m3: 11136
# DFT formation energy, meV/atom: -438

# Be2CoIr (GGA-PBE, relaxed)
data_Be2CoIr
_chemical_formula_sum 'Be4 Co2 Ir2'
_cell_length_a 2.717
_cell_length_b 4.346
_cell_length_c 7.681
_cell_angle_alpha 90.00
_cell_angle_beta 90.00
_cell_angle_gamma 90.00
_symmetry_space_group_name_H-M 'C m m 2'
_symmetry_Int_Tables_number 35
loop_
_symmetry_equiv_pos_as_xyz
'x,y,z'
'-x,-y,z'
'-x,y,z'
'x,-y,z'
'x+1/2,y+1/2,z'
'-x+1/2,-y+1/2,z'
'-x+1/2,y+1/2,z'
'x+1/2,-y+1/2,z'
loop_
_atom_site_label
_atom_site_type_symbol
_atom_site_fract_x
_atom_site_fract_y
_atom_site_fract_z
Be1 Be 0.000 0.000 0.000
Be2 Be 0.000 0.500 0.240
Co1 Co 0.000 0.500 0.774
Ir1 Ir 0.000 0.000 0.482
# Theoretical density, kg/m3: 9856
# DFT formation energy, meV/atom: 138

# BeCo2Ir (GGA-PBE, relaxed)
data_BeCo2Ir
_chemical_formula_sum 'Be2 Co4 Ir2'
_cell_length_a 3.451
_cell_length_b 3.451
_cell_length_c 7.338
_cell_angle_alpha 90.00
_cell_angle_beta 90.00
_cell_angle_gamma 90.00
_symmetry_space_group_name_H-M 'I 4/m m m'
_symmetry_Int_Tables_number 139
_symmetry_space_group_name_Hall '-I 4 2'
loop_
_atom_site_label
_atom_site_type_symbol
_atom_site_fract_x
_atom_site_fract_y
_atom_site_fract_z
Be1 Be 0.000 0.000 0.000
Co1 Co 0.000 0.500 0.250
Ir1 Ir 0.000 0.000 0.500
# Theoretical density, kg/m3: 12125
# DFT formation energy, meV/atom: -114

# BeCo2Ir (GGA-PBE, relaxed)
data_BeCo2Ir
_chemical_formula_sum 'Be1 Co2 Ir1'
_cell_length_a 2.630
_cell_length_b 2.630
_cell_length_c 6.186
_cell_angle_alpha 90.00
_cell_angle_beta 90.00
_cell_angle_gamma 90.00
_symmetry_space_group_name_H-M 'P 4/m m m'
_symmetry_Int_Tables_number 123
_symmetry_space_group_name_Hall '-P 4 2'
loop_
_atom_site_label
_atom_site_type_symbol
_atom_site_fract_x
_atom_site_fract_y
_atom_site_fract_z
Be1 Be 0.000 0.000 0.000
Co1 Co 0.500 0.500 0.212
Ir1 Ir 0.000 0.000 0.500
# Theoretical density, kg/m3: 12379
# DFT formation energy, meV/atom: -115

# BeCoIr2 (GGA-PBE, relaxed)
data_BeCoIr2
_chemical_formula_sum 'Be2 Co2 Ir4'
_cell_length_a 2.764
_cell_length_b 4.552
_cell_length_c 8.100
_cell_angle_alpha 90.00
_cell_angle_beta 90.00
_cell_angle_gamma 90.00
_symmetry_space_group_name_H-M 'C m m m'
_symmetry_Int_Tables_number 65
_symmetry_space_group_name_Hall '-C 2 2'
loop_
_atom_site_label
_atom_site_type_symbol
_atom_site_fract_x
_atom_site_fract_y
_atom_site_fract_z
Be1 Be 0.000 0.000 0.000
Co1 Co 0.000 0.000 0.500
Ir1 Ir 0.000 0.500 0.230
# Theoretical density, kg/m3: 14742
# DFT formation energy, meV/atom: 22

# Be2CoIr (GGA-PBE, relaxed)
data_Be2CoIr
_chemical_formula_sum 'Be4 Co2 Ir2'
_cell_length_a 2.785
_cell_length_b 3.719
_cell_length_c 7.961
_cell_angle_alpha 90.00
_cell_angle_beta 90.00
_cell_angle_gamma 90.00
_symmetry_space_group_name_H-M 'I m m 2'
_symmetry_Int_Tables_number 44
loop_
_symmetry_equiv_pos_as_xyz
'x,y,z'
'-x,-y,z'
'-x,y,z'
'x,-y,z'
'x+1/2,y+1/2,z+1/2'
'-x+1/2,-y+1/2,z+1/2'
'-x+1/2,y+1/2,z+1/2'
'x+1/2,-y+1/2,z+1/2'
loop_
_atom_site_label
_atom_site_type_symbol
_atom_site_fract_x
_atom_site_fract_y
_atom_site_fract_z
Be1 Be 0.000 0.000 0.000
Be2 Be 0.000 0.500 0.259
Co1 Co 0.000 0.500 0.743
Ir1 Ir 0.000 0.000 0.504
# Theoretical density, kg/m3: 10842
# DFT formation energy, meV/atom: -300

# BeCo2Ir (GGA-PBE, relaxed)
data_BeCo2Ir
_chemical_formula_sum 'Be3 Co6 Ir3'
_cell_length_a 2.6156
_cell_length_b 2.6156
_cell_length_c 23.3640
_cell_angle_alpha 90.00
_cell_angle_beta 90.00
_cell_angle_gamma 120.00
_symmetry_space_group_name_H-M 'R 3 m'
_symmetry_Int_Tables_number 160
_symmetry_space_group_name_Hall 'R 3 -2"'
loop_
_atom_site_label
_atom_site_type_symbol
_atom_site_fract_x
_atom_site_fract_y
_atom_site_fract_z
Be1 Be 0.0000 0.0000 0.0000
Co1 Co 0.0000 0.0000 0.4933
Co2 Co 0.0000 0.0000 0.7441
Ir1 Ir 0.0000 0.0000 0.2535
# Theoretical density, kg/m3: 11483
# DFT formation energy, meV/atom: -5

# BeCo2Ir (GGA-PBE, relaxed)
data_BeCo2Ir
_chemical_formula_sum 'Be1 Co2 Ir1'
_cell_length_a 2.833
_cell_length_b 3.818
_cell_length_c 4.184
_cell_angle_alpha 90.00
_cell_angle_beta 90.00
_cell_angle_gamma 90.00
_symmetry_space_group_name_H-M 'P m m m'
_symmetry_Int_Tables_number 47
loop_
_symmetry_equiv_pos_as_xyz
'x,y,z'
'-x,-y,-z'
'-x,-y,z'
'x,y,-z'
'x,-y,-z'
'-x,y,z'
'-x,y,-z'
'x,-y,z'
loop_
_atom_site_label
_atom_site_type_symbol
_atom_site_fract_x
_atom_site_fract_y
_atom_site_fract_z
Be1 Be 0.000 0.000 0.000
Co1 Co 0.000 0.500 0.500
Co2 Co 0.500 0.000 0.500
Ir1 Ir 0.500 0.500 0.000
# Theoretical density, kg/m3: 11709
# DFT formation energy, meV/atom: -129